# Hf6NbPb | Alexandria | PBE-GGA | optimized geometry
# Crystal system   trigonal
# ΔH_f (0 K)   1.091 eV/f.u.
# D(E_F)   39.703 states/eV/cell
data_Hf6NbPb
_cell_length_a 5.0141
_cell_length_b 5.0141
_cell_length_c 23.9797
_cell_angle_alpha 90.00
_cell_angle_beta 90.00
_cell_angle_gamma 120.00
_space_group_name_H-M_alt 'R -3 m'
_space_group_IT_number 166
_space_group_name_Hall '-R 3 2"'
loop_
_atom_site_label
_atom_site_type_symbol
_atom_site_fract_x
_atom_site_fract_y
_atom_site_fract_z
Hf1 Hf 0.0000 0.0000 0.1217
Hf2 Hf 0.0000 0.0000 0.2505
Hf3 Hf 0.0000 0.0000 0.3705
Nb1 Nb 0.0000 0.0000 0.0000
Pb1 Pb 0.0000 0.0000 0.5000

# LaTe7 | Alexandria | PBE-GGA | optimized geometry
# Crystal system   cubic
# Formation energy (no corrections)   -179.1 meV/atom
# D(E_F)   22.710 states/eV/cell
data_LaTe7
_cell_length_a 9.771
_cell_length_b 9.771
_cell_length_c 9.771
_cell_angle_alpha 90.00
_cell_angle_beta 90.00
_cell_angle_gamma 90.00
_space_group_name_H-M_alt 'F m -3 m'
_space_group_IT_number 225
_space_group_name_Hall '-F 4 2 3'
loop_
_atom_site_label
_atom_site_type_symbol
_atom_site_fract_x
_atom_site_fract_y
_atom_site_fract_z
La1 La 0.000 0.000 0.000
Te1 Te 0.000 0.000 0.500
Te2 Te 0.000 0.250 0.250

# Tc2HgSe | Alexandria | PBE-GGA | optimized geometry
# Excess energy over the best structure of this formula in the dataset   6.663 kcal/mol of atoms
# Crystal system   orthorhombic
# Formation energy (no corrections)   452.4 meV/atom
# D(E_F)   8.603 states/eV/cell
data_Tc2HgSe
_cell_length_a 2.993
_cell_length_b 4.799
_cell_length_c 10.678
_cell_angle_alpha 90.00
_cell_angle_beta 90.00
_cell_angle_gamma 90.00
_space_group_name_H-M_alt 'C m m 2'
_space_group_IT_number 35
loop_
_space_group_symop_operation_xyz
'x,y,z'
'-x,-y,z'
'-x,y,z'
'x,-y,z'
'x+1/2,y+1/2,z'
'-x+1/2,-y+1/2,z'
'-x+1/2,y+1/2,z'
'x+1/2,-y+1/2,z'
loop_
_atom_site_label
_atom_site_type_symbol
_atom_site_fract_x
_atom_site_fract_y
_atom_site_fract_z
Tc1 Tc 0.000 0.000 0.000
Tc2 Tc 0.000 0.500 0.195
Hg1 Hg 0.000 0.000 0.444
Se1 Se 0.000 0.500 0.798

# Mg2Sc4C | Alexandria | PBE-GGA | optimized geometry
# Crystal system   tetragonal
# ΔH_f (0 K)   -0.244 eV/f.u.
# D(E_F)   18.320 states/eV/cell
data_Mg2Sc4C
_cell_length_a 4.567
_cell_length_b 4.567
_cell_length_c 15.378
_cell_angle_alpha 90.00
_cell_angle_beta 90.00
_cell_angle_gamma 90.00
_space_group_name_H-M_alt 'I 4/m m m'
_space_group_IT_number 139
_space_group_name_Hall '-I 4 2'
loop_
_atom_site_label
_atom_site_type_symbol
_atom_site_fract_x
_atom_site_fract_y
_atom_site_fract_z
Mg1 Mg 0.000 0.000 0.145
Sc1 Sc 0.000 0.000 0.354
Sc2 Sc 0.000 0.500 0.000
C1 C 0.000 0.000 0.500

# LaPr2HoEr | Alexandria | PBE-GGA | optimized geometry
# Crystal system   monoclinic
# ΔH_f (0 K)   1.363 eV/f.u.
# D(E_F)   13.609 states/eV/cell
data_LaPr2HoEr
_cell_length_a 9.146
_cell_length_b 6.427
_cell_length_c 6.438
_cell_angle_alpha 90.00
_cell_angle_beta 108.40
_cell_angle_gamma 90.00
_space_group_name_H-M_alt 'P 1 2/c 1'
_space_group_IT_number 13
loop_
_space_group_symop_operation_xyz
'x,y,z'
'-x,-y,-z'
'-x,y,-z+1/2'
'x,-y,z+1/2'
loop_
_atom_site_label
_atom_site_type_symbol
_atom_site_fract_x
_atom_site_fract_y
_atom_site_fract_z
La1 La 0.000 0.000 0.000
Pr1 Pr 0.317 0.314 0.163
Ho1 Ho 0.500 0.167 0.750
Er1 Er 0.000 0.489 0.750

# Pm4ErCu5 | Alexandria | PBE-GGA | optimized geometry
# Crystal system   tetragonal
# ΔH_f (0 K)   -1.864 eV/f.u.
# D(E_F)   6.004 states/eV/cell
data_Pm4ErCu5
_cell_length_a 3.521
_cell_length_b 3.521
_cell_length_c 17.882
_cell_angle_alpha 90.00
_cell_angle_beta 90.00
_cell_angle_gamma 90.00
_space_group_name_H-M_alt 'P 4/m m m'
_space_group_IT_number 123
_space_group_name_Hall '-P 4 2'
loop_
_atom_site_label
_atom_site_type_symbol
_atom_site_fract_x
_atom_site_fract_y
_atom_site_fract_z
Pm1 Pm 0.000 0.000 0.101
Pm2 Pm 0.000 0.000 0.304
Er1 Er 0.000 0.000 0.500
Cu1 Cu 0.500 0.500 0.000
Cu2 Cu 0.500 0.500 0.202
Cu3 Cu 0.500 0.500 0.409

# MgAgSb3 | Alexandria | PBE-GGA | optimized geometry
# Excess energy over the best structure of this formula in the dataset   0.000 kcal/mol of atoms
# Crystal system   cubic
# Formation energy (no corrections)   564.7 meV/atom
# D(E_F)   3.579 states/eV/cell
data_MgAgSb3
_cell_length_a 5.391
_cell_length_b 5.391
_cell_length_c 5.391
_cell_angle_alpha 90.00
_cell_angle_beta 90.00
_cell_angle_gamma 90.00
_space_group_name_H-M_alt 'P m -3 m'
_space_group_IT_number 221
_space_group_name_Hall '-P 4 2 3'
loop_
_atom_site_label
_atom_site_type_symbol
_atom_site_fract_x
_atom_site_fract_y
_atom_site_fract_z
Mg1 Mg 0.000 0.000 0.000
Ag1 Ag 0.500 0.500 0.500
Sb1 Sb 0.000 0.500 0.500

# TaB3Mo | Alexandria | PBE-GGA | optimized geometry
# Excess energy over the best structure of this formula in the dataset   50.499 kcal/mol of atoms
# Crystal system   cubic
# ΔH_f (0 K)   7.863 eV/f.u.
# D(E_F)   1.599 states/eV/cell
data_TaB3Mo
_cell_length_a 4.120
_cell_length_b 4.120
_cell_length_c 4.120
_cell_angle_alpha 90.00
_cell_angle_beta 90.00
_cell_angle_gamma 90.00
_space_group_name_H-M_alt 'P m -3 m'
_space_group_IT_number 221
_space_group_name_Hall '-P 4 2 3'
loop_
_atom_site_label
_atom_site_type_symbol
_atom_site_fract_x
_atom_site_fract_y
_atom_site_fract_z
Ta1 Ta 0.000 0.000 0.000
B1 B 0.000 0.000 0.500
Mo1 Mo 0.500 0.500 0.500

Taking the records one at a time from the top gives total moment values of 0.0; 0.0; 0.0; 4.2; 0.0; 0.0; 0.0; 1.9 μB per cell.